Entry 1:
K4TlTc, relaxed, DFT PBE-GGA; M_tot = 3.358 μB per formula unit; formation enthalpy at 0 K = 1.01 eV per atom; SG = F-43m (216)
1.0
0.000 5.048 5.048
5.048 0.000 5.048
5.048 5.048 0.000
K Tl Tc
4 1 1
Direct
0.125 0.125 0.125 K
0.125 0.125 0.626 K
0.125 0.626 0.125 K
0.626 0.125 0.125 K
0.500 0.500 0.500 Tl
0.750 0.750 0.750 Tc

---

Entry 2:
KTl2Tc, relaxed, DFT PBE-GGA; M_tot = 1.669 μB per formula unit; formation enthalpy at 0 K = 0.78 eV per atom; SG = C2/m (12)
1.0
3.860 -3.896 0.000
3.860 3.896 0.000
-0.035 0.000 3.252
K Tl Tc
1 2 1
Direct
0.000 0.000 0.000 K
0.000 0.500 0.500 Tl
0.500 0.000 0.500 Tl
0.500 0.500 0.000 Tc

---

Entry 3:
KTl2Tc, relaxed, DFT PBE-GGA; M_tot = 2.558 μB per formula unit; formation enthalpy at 0 K = 0.77 eV per atom; SG = Immm (71)
1.0
-2.347 2.739 4.151
2.347 -2.739 4.151
2.347 2.739 -4.151
K Tl Tc
1 2 1
Direct
0.000 0.000 0.000 K
0.278 0.778 0.500 Tl
0.722 0.222 0.500 Tl
0.500 0.500 0.000 Tc

---

Entry 4:
KTl3Tc, relaxed, DFT PBE-GGA; M_tot = 0.000 μB per formula unit; formation enthalpy at 0 K = 0.16 eV per atom; SG = Pm-3m (221)
1.0
5.383 0.000 0.000
0.000 5.383 0.000
0.000 0.000 5.383
K Tl Tc
1 3 1
Direct
0.000 0.000 0.000 K
0.000 0.500 0.500 Tl
0.500 0.000 0.500 Tl
0.500 0.500 0.000 Tl
0.500 0.500 0.500 Tc

---

Entry 5:
KTl2Tc, relaxed, DFT PBE-GGA; M_tot = 0.000 μB per formula unit; formation enthalpy at 0 K = 0.57 eV per atom; SG = R-3m (166)
1.0
1.662 0.960 10.397
-1.662 0.960 10.397
0.000 -1.919 10.397
K Tl Tc
1 2 1
Direct
0.000 0.000 0.000 K
0.237 0.237 0.237 Tl
0.763 0.763 0.763 Tl
0.500 0.500 0.500 Tc

---

Entry 6:
KTl2Tc, relaxed, DFT PBE-GGA; M_tot = 0.001 μB per formula unit; formation enthalpy at 0 K = 0.59 eV per atom; SG = C2/m (12)
1.0
4.528 -1.546 0.000
4.528 1.546 0.000
-0.810 0.000 7.682
K Tl Tc
1 2 1
Direct
0.000 0.000 0.000 K
0.237 0.237 0.685 Tl
0.763 0.763 0.315 Tl
0.500 0.500 0.500 Tc

---

Entry 7:
KTl2Tc, relaxed, DFT PBE-GGA; M_tot = 3.207 μB per formula unit; formation enthalpy at 0 K = 0.95 eV per atom; SG = F-43m (216)
1.0
0.000 3.814 3.814
3.814 0.000 3.814
3.814 3.814 0.000
K Tl Tc
1 2 1
Direct
0.000 0.000 0.000 K
0.500 0.500 0.500 Tl
0.750 0.750 0.750 Tl
0.250 0.250 0.250 Tc

---

Entry 8:
KTl2Tc, relaxed, DFT PBE-GGA; M_tot = 0.000 μB per formula unit; formation enthalpy at 0 K = 0.47 eV per atom; SG = Imm2 (44)
1.0
-1.554 2.334 8.073
1.554 -2.334 8.073
1.554 2.334 -8.073
K Tl Tc
1 2 1
Direct
0.000 0.000 0.000 K
0.318 0.818 0.500 Tl
0.654 0.654 0.000 Tl
0.802 0.302 0.500 Tc

---

Entry 9:
KTl2Tc, relaxed, DFT PBE-GGA; M_tot = 1.544 μB per formula unit; formation enthalpy at 0 K = 0.48 eV per atom; SG = P4/mmm (123)
1.0
3.261 0.000 0.000
0.000 3.261 0.000
0.000 0.000 9.437
K Tl Tc
1 2 1
Direct
0.000 0.000 0.000 K
0.500 0.500 0.297 Tl
0.500 0.500 0.703 Tl
0.000 0.000 0.500 Tc

---

Entry 10:
KTl3Tc, relaxed, DFT PBE-GGA; M_tot = 3.320 μB per formula unit; formation enthalpy at 0 K = 1.59 eV per atom; SG = Pm-3m (221)
1.0
5.899 0.000 0.000
0.000 5.899 0.000
0.000 0.000 5.899
K Tl Tc
1 3 1
Direct
0.000 0.000 0.000 K
0.000 0.000 0.500 Tl
0.000 0.500 0.000 Tl
0.500 0.000 0.000 Tl
0.500 0.500 0.500 Tc

---

Entry 11:
KTl2Tc, relaxed, DFT PBE-GGA; M_tot = 0.000 μB per formula unit; formation enthalpy at 0 K = 0.51 eV per atom; SG = Pmm2 (25)
1.0
3.182 0.000 0.000
0.000 4.562 0.000
0.000 0.000 8.166
K Tl Tc
1 2 1
Direct
0.000 0.000 0.000 K
0.500 0.000 0.616 Tl
0.500 0.500 0.306 Tl
0.000 0.500 0.599 Tc

---

Entry 12:
KTl2Tc, relaxed, DFT PBE-GGA; M_tot = 2.421 μB per formula unit; formation enthalpy at 0 K = 0.90 eV per atom; SG = I-4m2 (119)
1.0
-2.276 2.276 5.083
2.276 -2.276 5.083
2.276 2.276 -5.083
K Tl Tc
1 2 1
Direct
0.000 0.000 0.000 K
0.500 0.500 0.000 Tl
0.750 0.250 0.500 Tl
0.250 0.750 0.500 Tc